*i*
CsNaTl | PBE | relaxed

Unit cell a=4.409 b=4.409 c=7.686 alpha=106.67 beta=106.67 gamma=90.00
Element x y z (fractional)
Cs (0.011, 0.011, 0.022)
Na (0.289, 0.289, 0.578)
Tl (0.700, 0.700, 0.400)

* magnetic moment: 0.289 μB per formula unit
* density: 4381 kg/m³

---

*ii*
CsNaTl | PBE | relaxed

Unit cell a=7.201 b=7.201 c=7.201 alpha=89.93 beta=117.75 gamma=122.39
Element x y z (fractional)
Cs (0.250, 0.119, 0.369)
Cs (0.750, 0.881, 0.631)
Na (0.000, 0.500, 0.500)
Na (0.500, 0.500, 0.000)
Tl (0.500, 0.000, 0.000)
Tl (0.000, 0.500, 0.000)

* magnetic moment: 0.000 μB per formula unit
* density: 4546 kg/m³

---

Tell me which of them is the most stable. Sure, it is *ii*.

---

*i*
Cs2Na5Tl | PBE | relaxed

Unit cell a=9.858 b=7.226 c=7.227 alpha=119.36 beta=105.37 gamma=105.37
Element x y z (fractional)
Cs (0.480, 0.823, 0.162)
Cs (0.480, 0.162, 0.823)
Na (0.001, 0.803, 0.266)
Na (0.289, 0.361, 0.361)
Na (0.726, 0.665, 0.665)
Na (0.001, 0.266, 0.803)
Na (0.929, 0.310, 0.310)
Tl (0.093, 0.833, 0.833)

* magnetic moment: 0.000 μB per formula unit
* density: 2544 kg/m³

---

*ii*
Cs2Na5Tl | PBE | relaxed

Unit cell a=7.846 b=7.844 c=8.788 alpha=116.83 beta=116.51 gamma=90.00
Element x y z (fractional)
Cs (0.219, 0.723, 0.438)
Cs (0.719, 0.217, 0.438)
Na (0.713, 0.255, 0.969)
Na (0.255, 0.255, 0.969)
Na (0.710, 0.710, 0.962)
Na (0.252, 0.710, 0.962)
Na (0.835, 0.834, 0.669)
Tl (0.073, 0.073, 0.146)

* magnetic moment: 0.000 μB per formula unit
* density: 2325 kg/m³

---

Tell me which of them is the most stable. Sure, it is *i*.

---

*i*
CsNa6Tl12 | PBE | relaxed

Unit cell a=8.877 b=8.877 c=8.877 alpha=103.13 beta=103.13 gamma=103.13
Element x y z (fractional)
Cs (0.000, 0.000, 0.000)
Na (0.694, 0.283, 0.283)
Na (0.283, 0.283, 0.694)
Na (0.283, 0.694, 0.283)
Na (0.717, 0.717, 0.306)
Na (0.306, 0.717, 0.717)
Na (0.717, 0.306, 0.717)
Tl (0.887, 0.113, 0.500)
Tl (0.886, 0.609, 0.609)
Tl (0.609, 0.609, 0.886)
Tl (0.391, 0.114, 0.391)
Tl (0.391, 0.391, 0.114)
Tl (0.114, 0.391, 0.391)
Tl (0.113, 0.500, 0.887)
Tl (0.500, 0.887, 0.113)
Tl (0.113, 0.887, 0.500)
Tl (0.887, 0.500, 0.113)
Tl (0.500, 0.113, 0.887)
Tl (0.609, 0.886, 0.609)

* magnetic moment: 0.000 μB per formula unit
* density: 7131 kg/m³

---

*ii*
CsNa6Tl12 | PBE | relaxed

Unit cell a=8.822 b=9.247 c=9.247 alpha=69.62 beta=71.46 gamma=108.54
Element x y z (fractional)
Cs (0.000, 0.000, 0.000)
Na (0.445, 0.490, 0.215)
Na (0.045, 0.705, 0.510)
Na (0.340, 0.785, 0.705)
Na (0.555, 0.510, 0.785)
Na (0.955, 0.295, 0.490)
Na (0.660, 0.215, 0.295)
Tl (0.510, 0.853, 0.274)
Tl (0.656, 0.872, 0.853)
Tl (0.784, 0.274, 0.872)
Tl (0.490, 0.147, 0.726)
Tl (0.344, 0.128, 0.147)
Tl (0.216, 0.726, 0.128)
Tl (0.264, 0.454, 0.614)
Tl (0.121, 0.386, 0.069)
Tl (0.190, 0.069, 0.546)
Tl (0.736, 0.546, 0.386)
Tl (0.879, 0.614, 0.931)
Tl (0.810, 0.931, 0.454)

* magnetic moment: 0.000 μB per formula unit
* density: 7701 kg/m³

---

Tell me which of them is the most stable. Sure, it is *ii*.